[1]
# Y6Ho2Er (PBE, optimized geometry)
# **Energy**: -5.77 eV/atom
# **Calculated formation energy**: 0.07 eV per atom
# **V**: 31.93 Å³/atom
# **ΔE to the lowest computed polymorph**: 0 kJ/mol of formula units
data_Y6Ho2Er
_symmetry_space_group_name_H-M 'C 1 2/c 1'
_symmetry_Int_Tables_number 15
_cell_length_a 13.3747
_cell_length_b 11.6712
_cell_length_c 9.0077
_cell_angle_alpha 90.00
_cell_angle_beta 125.16
_cell_angle_gamma 90.00
loop_
_symmetry_equiv_pos_as_xyz
'x,y,z'
'-x,-y,-z'
'-x,y,-z+1/2'
'x,-y,z+1/2'
'x+1/2,y+1/2,z'
'-x+1/2,-y+1/2,-z'
'-x+1/2,y+1/2,-z+1/2'
'x+1/2,-y+1/2,z+1/2'
loop_
_atom_site_label
_atom_site_type_symbol
_atom_site_fract_x
_atom_site_fract_y
_atom_site_fract_z
Y1 Y 0.0834 0.1114 0.4876
Y2 Y 0.1526 0.1511 0.9071
Y3 Y 0.2039 0.4090 0.6304
Ho1 Ho 0.1081 0.3278 0.1949
Er1 Er 0.0000 0.4159 0.7500

[2]
# TlZn4Ni (PBE, optimized geometry)
# **Energy**: -2.03 eV/atom
# **Calculated formation energy**: 0.18 eV per atom
# **V**: 16.15 Å³/atom
data_TlZn4Ni
_symmetry_space_group_name_H-M 'F -4 3 m'
_symmetry_Int_Tables_number 216
_symmetry_space_group_name_Hall 'F -4 2 3'
_cell_length_a 7.2907
_cell_length_b 7.2907
_cell_length_c 7.2907
_cell_angle_alpha 90.00
_cell_angle_beta 90.00
_cell_angle_gamma 90.00
loop_
_atom_site_label
_atom_site_type_symbol
_atom_site_fract_x
_atom_site_fract_y
_atom_site_fract_z
Tl1 Tl 0.0000 0.0000 0.0000
Zn1 Zn 0.1238 0.1238 0.6238
Ni1 Ni 0.2500 0.2500 0.2500